{
  "formula": "Mg2HgPt2",
  "functional": "PBE",
  "state": "optimized geometry",
  "volume_a3_per_cell": 100,
  "n_ef_per_ev_atom": 0.229,
  "total_energy_ev_per_cell": -17.4,
  "e_above_lowest_polymorph_ev_per_atom": 0.2523,
  "lattice_angstrom": [[4.107, 0.000, 0.000], [0.000, 4.107, 0.000], [2.054, 2.054, 5.906]],
  "species": ["Mg", "Mg", "Hg", "Pt", "Pt"],
  "frac_coords": [[0.750, 0.250, 0.500], [0.250, 0.750, 0.500], [0.000, 0.000, 0.000], [0.389, 0.389, 0.221], [0.611, 0.611, 0.779]]
}